P) Entry from the Alexandria database: a relaxed Ba4Mo crystal (PBE).

V   52.49 Å³ per atom
Fermi-level density of states   6.38 states/eV/cell
Space-group type   Pm-3m, No. 221

Structure (POSCAR):
```
Ba4Mo
1.0
6.402 0.000 0.000
0.000 6.402 0.000
0.000 0.000 6.402
Ba Mo
4 1
direct
0.000 0.000 0.000
0.000 0.500 0.500
0.500 0.000 0.500
0.500 0.500 0.000
0.500 0.500 0.500
```

---

Q) Entry from the Alexandria database: a relaxed Ba4Mo crystal (PBE).

V   46.66 Å³ per atom
Fermi-level density of states   4.76 states/eV/cell
Space-group type   I4/mmm, No. 139

Structure (POSCAR):
```
Ba4Mo
1.0
-3.581 3.581 4.549
3.581 -3.581 4.549
3.581 3.581 -4.549
Ba Mo
4 1
direct
0.181 0.181 0.000
0.250 0.750 0.500
0.750 0.250 0.500
0.819 0.819 0.000
0.500 0.500 0.000
```

---

R) Entry from the Alexandria database: a relaxed Ba4Mo crystal (PBE).

V   51.48 Å³ per atom
Fermi-level density of states   10.28 states/eV/cell
Space-group type   Im-3m, No. 229

Structure (POSCAR):
```
Ba4Mo
1.0
-4.007 4.007 4.007
4.007 -4.007 4.007
4.007 4.007 -4.007
Ba Mo
4 1
direct
0.000 0.000 0.500
0.000 0.500 0.000
0.500 0.000 0.000
0.500 0.500 0.500
0.000 0.000 0.000
```

---

Stability ranking, top entry: P); the second entry is 0.147 eV/atom less favorable.

---

P) Entry from the Alexandria database: a relaxed Ba2Mo crystal (PBE).

V   39.91 Å³ per atom
Fermi-level density of states   6.72 states/eV/cell
Space-group type   Cmcm, No. 63

Structure (POSCAR):
```
Ba2Mo
1.0
1.961 -10.270 0.000
1.961 10.270 0.000
0.000 0.000 5.946
Ba Mo
4 2
direct
0.073 0.927 0.750
0.189 0.811 0.250
0.811 0.189 0.750
0.927 0.073 0.250
0.446 0.554 0.750
0.554 0.446 0.250
```

---

Q) Entry from the Alexandria database: a relaxed Ba2Mo crystal (PBE).

V   40.33 Å³ per atom
Fermi-level density of states   6.39 states/eV/cell
Space-group type   C2/m, No. 12

Structure (POSCAR):
```
Ba2Mo
1.0
6.783 -1.959 0.000
6.783 1.959 0.000
-4.008 0.000 9.106
Ba Mo
4 2
direct
0.005 0.005 0.188
0.322 0.322 0.347
0.678 0.678 0.653
0.995 0.995 0.812
0.288 0.288 0.964
0.712 0.712 0.036
```

---

Stability ranking, top entry: Q); the second entry is 0.526 eV/atom less favorable.